DFT (PBE with a Hubbard U) results for crystalline BaPu2CoO8 at its relaxed geometry.

Unit cell a=7.6210 b=6.9456 c=7.0023 alpha=90.00 beta=90.13 gamma=90.00
Space group C2/m (No. 12)
Symmetry-distinct sites (fractional):
Ba: 0.0000 0.0000 0.0000 (multiplicity 2)
Pu: 0.0002 0.5000 0.2631 (multiplicity 4)
Co: 0.0000 0.0000 0.5000 (multiplicity 2)
O: 0.0005 0.2195 0.7062 (multiplicity 8)
O: 0.1595 0.5000 0.9991 (multiplicity 4)
O: 0.1804 0.5000 0.5000 (multiplicity 4)

Properties
DFT total energy: -8.554 eV per atom